(1)
The following is a DFT calculation (GGA-PBE) of a relaxed KNiMo2 crystal.

Cell lengths 4.539, 4.539, 7.586 Å; angles 87.67, 87.67, 33.87 degrees
Positions (direct):
1 K 0.756 0.756 0.736
2 Mo 0.244 0.244 0.271
3 Mo 0.989 0.989 0.100
4 Ni 0.511 0.511 0.394

**Energy above the most stable polymorph in this dataset**: 0.1875 eV/atom
**Total moment**: 0.000 μB/atom

---

(2)
The following is a DFT calculation (GGA-PBE) of a relaxed Sr2LaMg3 crystal.

Cell lengths 4.081, 4.081, 12.486 Å; angles 90.00, 90.00, 90.00 degrees
Positions (direct):
1 Sr 0.500 0.500 0.173
2 Sr 0.500 0.500 0.827
3 Mg 0.000 0.000 0.000
4 Mg 0.000 0.000 0.350
5 Mg 0.000 0.000 0.650
6 La 0.500 0.500 0.500

**Final energy**: -2.2496 eV/atom
**Total moment**: 0.013 μB/atom